[1]
DFT (PBEsol) results for a relaxed TiCuB2W crystal.

Summary:
Size of the total moment (μB/f.u.): 0.0
Formation enthalpy at 0 K (eV per formula unit): 8.31

POSCAR file:
```
TiCuB2W
1.0
3.8763 0.0000 0.0000
0.0000 3.8763 0.0000
0.0000 0.0000 4.2621
Ti Cu B W
1 1 2 1
Direct
0.0000 0.0000 0.0000 Ti
0.0000 0.0000 0.5000 Cu
0.0000 0.5000 0.0000 B
0.5000 0.0000 0.0000 B
0.5000 0.5000 0.5000 W
```



[2]
DFT (PBEsol) results for a relaxed TlCuB3 crystal.

Summary:
Size of the total moment (μB/f.u.): 0.0
Formation enthalpy at 0 K (eV per formula unit): 13.83

POSCAR file:
```
TlCuB3
1.0
4.4392 0.0000 0.0000
0.0000 4.4392 0.0000
0.0000 0.0000 4.4392
Tl Cu B
1 1 3
Direct
0.0000 0.0000 0.0000 Tl
0.5000 0.5000 0.5000 Cu
0.0000 0.0000 0.5000 B
0.0000 0.5000 0.0000 B
0.5000 0.0000 0.0000 B
```



Please write out number 1 again, unchanged.
DFT (PBEsol) results for a relaxed TiCuB2W crystal.

Summary:
Size of the total moment (μB/f.u.): 0.0
Formation enthalpy at 0 K (eV per formula unit): 8.31

POSCAR file:
```
TiCuB2W
1.0
3.8763 0.0000 0.0000
0.0000 3.8763 0.0000
0.0000 0.0000 4.2621
Ti Cu B W
1 1 2 1
Direct
0.0000 0.0000 0.0000 Ti
0.0000 0.0000 0.5000 Cu
0.0000 0.5000 0.0000 B
0.5000 0.0000 0.0000 B
0.5000 0.5000 0.5000 W
```